A relaxed BaTc2Sb crystal. Source: Alexandria, functional PBE.

Calculated values
E   -6.082 eV/atom
Magnetic moment   0.000 Bohr magnetons per cell
E_form (uncorrected)   0.612 eV per atom

Lattice parameters (Å, degrees): 3.4496 3.4496 7.6708 90.00 90.00 90.00
Closest atoms and distances in Å follow each position.
Element x y z (fractional)
Ba 0.0000 0.0000 0.0000  4 Ba 3.45, 8 Tc 3.52, 2 Sb 3.84
Tc 0.5000 0.5000 0.3308  1 Tc 2.60, 4 Sb 2.76
Tc 0.5000 0.5000 0.6692  1 Tc 2.60, 4 Sb 2.76
Sb 0.0000 0.0000 0.5000  8 Tc 2.76